Here is a relaxed structure of RbNbH2Pd from Alexandria. Energies are from PBE-GGA.

Summary:
Total DFT energy (no corrections) in eV/atom: -3.017
Calculated volume in A^3/atom: 22.589
Space-group type: P4/mmm, No. 123

a b c (Å): 3.904 7.411 3.904
angles (deg): 90.00 90.00 90.00
Fractional coordinates of all 5 atoms:
H1 0.000 0.000 0.500
Nb1 0.000 0.500 0.000
Pd1 0.500 0.500 0.500
Rb1 0.000 0.000 0.000
H2 0.500 0.000 0.000